(1)
The following is a DFT calculation (PBE) of a relaxed structure of Pm6Er2Tm3Mg.

The density of states at the Fermi level is 24.3 states/eV per cell. For the formation energy from the elements, the calculation gives 24 meV/atom. Its calculated total energy is -4.362 eV per atom.

The space group is C2/m (No. 12) and the conventional cell measures 6.1763, 10.7050 and 11.6720 Å, with angles of 90.00, 100.21 and 90.00 degrees. The distinct sites, in fractional coordinates, are Pm at (0.2492, 0.1665, 0.2494), Pm at (0.2503, 0.0000, 0.7495), Er at (0.0000, 0.3336, 0.0000), Tm at (0.0000, 0.1665, 0.5000), Tm at (0.0000, 0.5000, 0.5000) and Mg at (0.0000, 0.0000, 0.0000).



(2)
The following is a DFT calculation (PBE) of a relaxed structure of Pm6Er2TmMg.

The density of states at the Fermi level is 55.5 states/eV per cell. For the formation energy from the elements, the calculation gives 120 meV/atom. Its calculated total energy is -4.250 eV per atom.

The space group is C2/c (No. 15) and the conventional cell measures 9.2451, 14.9180 and 9.5324 Å, with angles of 90.00, 97.87 and 90.00 degrees. The distinct sites, in fractional coordinates, are Pm at (0.0570, 0.1796, 0.4491), Pm at (0.1027, 0.3979, 0.6114), Pm at (0.2164, 0.2180, 0.8070), Er at (0.2479, 0.0496, 0.0518), Tm at (0.0000, 0.0225, 0.7500) and Mg at (0.0000, 0.4098, 0.2500).



(3)
The following is a DFT calculation (PBE) of a relaxed structure of Pm4ErTm2Mg.

The density of states at the Fermi level is 10.4 states/eV per cell. For the formation energy from the elements, the calculation gives 8 meV/atom. Its calculated total energy is -4.254 eV per atom.

The space group is P4/mmm (No. 123) and the conventional cell measures 5.0501, 5.0501 and 9.8361 Å, with angles of 90.00, 90.00 and 90.00 degrees. The distinct sites, in fractional coordinates, are Pm at (0.0000, 0.5000, 0.2460), Er at (0.0000, 0.0000, 0.5000), Tm at (0.0000, 0.0000, 0.0000), Tm at (0.5000, 0.5000, 0.5000) and Mg at (0.5000, 0.5000, 0.0000).